The following is a GGA-PBE calculation of a relaxed structure of CoBiPtAu, from OQMD.

Lattice parameters (Å, degrees): 4.643 4.643 4.643 60.00 60.00 60.00
Site moments in Bohr magnetons follow the coordinates.
Sites, in units of the cell vectors:
Au1 0.500 0.500 0.500  -0.01
Pt1 0.250 0.250 0.250  0.11
Co1 0.750 0.750 0.750  1.52
Bi1 0.000 0.000 0.000  0.00

Computed properties:
Total moment: 1.6 μB per formula unit
Space group: F-43m (216)
Energy relative to the lowest polymorph listed for this composition: 0.000 eV/atom